Computed, not measured: a relaxed PaN2 crystal at the PBE-GGA level of DFT.

Unit cell a=6.782 b=6.782 c=6.782 alpha=60.00 beta=60.00 gamma=60.00
Positions (direct):
Pa 0.125 0.125 0.125
Pa 0.875 0.875 0.875
N 0.000 0.000 0.000
N 0.000 0.000 0.500
N 0.000 0.500 0.000
N 0.500 0.000 0.000

## Properties
For the electronic total energy, the calculation gives -9.1668 eV per atom. The excess energy over the best structure of this formula in the dataset is 661 meV/atom. The space group is Fd-3m, No. 227.

---

Computed, not measured: a relaxed Pa3N4 crystal at the PBE-GGA level of DFT.

Unit cell a=8.993 b=8.993 c=8.993 alpha=23.50 beta=23.50 gamma=23.50
Positions (direct):
Pa 0.000 0.000 0.000
Pa 0.226 0.226 0.226
Pa 0.774 0.774 0.774
N 0.136 0.136 0.136
N 0.385 0.385 0.385
N 0.615 0.615 0.615
N 0.864 0.864 0.864

## Properties
For the electronic total energy, the calculation gives -10.4385 eV per atom. The space group is R-3m, No. 166.

---

Computed, not measured: a relaxed PaN2 crystal at the PBE-GGA level of DFT.

Unit cell a=5.130 b=5.130 c=3.539 alpha=90.00 beta=90.00 gamma=90.00
Positions (direct):
Pa 0.000 0.000 0.000
Pa 0.500 0.500 0.500
N 0.192 0.192 0.500
N 0.308 0.692 0.000
N 0.692 0.308 0.000
N 0.808 0.808 0.500

## Properties
For the electronic total energy, the calculation gives -9.6792 eV per atom. The excess energy over the best structure of this formula in the dataset is 149 meV/atom. The space group is P4_2/mnm, No. 136.